1.
CaI3F | GGA-PBE | optimized geometry

Geometry as POSCAR:
```
CaI3F
1.0
6.1003 0.0000 0.0000
0.0000 6.1003 0.0000
0.0000 0.0000 6.1003
Ca I F
1 3 1
Direct
0.0000 0.0000 0.0000
0.0000 0.0000 0.5000
0.0000 0.5000 0.0000
0.5000 0.0000 0.0000
0.5000 0.5000 0.5000
```

Computed properties:
Space group: Pm-3m



2.
Ca2IF2 | GGA-PBE | optimized geometry

Geometry as POSCAR:
```
Ca2IF2
1.0
7.0392 0.0000 0.0000
0.0000 7.0392 0.0000
-3.5196 -3.5196 5.6562
F Ca I
4 4 2
Direct
0.6519 0.3551 0.3038
0.6051 0.4019 0.8038
0.1988 0.4019 0.8038
0.6519 0.9488 0.3038
0.9465 0.2031 0.4063
0.4531 0.6965 0.9063
0.4598 0.2031 0.4063
0.4531 0.2098 0.9063
0.2205 0.7205 0.4410
0.9705 0.9705 0.9410
```

Computed properties:
Space group: I4_1md



3.
Ca2IF | GGA-PBE | optimized geometry

Geometry as POSCAR:
```
Ca2IF
1.0
0.0000 3.7532 3.7532
3.7532 0.0000 3.7532
3.7532 3.7532 0.0000
F Ca I
1 2 1
Direct
0.0000 0.0000 0.0000
0.2500 0.2500 0.2500
0.7500 0.7500 0.7500
0.5000 0.5000 0.5000
```

Computed properties:
Space group: Fm-3m



4.
CaIrI2F | GGA-PBE | optimized geometry

Geometry as POSCAR:
```
CaIrI2F
1.0
-3.7324 3.5377 -3.1150
0.9035 -2.0847 -3.4501
-4.5265 -3.7984 1.1098
Ir I F Ca
1 2 1 1
Direct
0.5000 0.5000 0.5000
0.5000 0.0000 0.0000
0.0000 0.0000 0.5000
0.0000 0.5000 0.0000
0.0000 0.0000 0.0000
```

Computed properties:
Space group: P4/mmm



5.
K2CaI2F2 | GGA-PBE | optimized geometry

Geometry as POSCAR:
```
K2CaI2F2
1.0
4.6656 0.0000 0.0000
0.0000 4.6656 0.0000
-2.3328 -2.3328 9.4014
Ca K F I
1 2 2 2
Direct
0.0000 0.0000 0.0000
0.6156 0.6156 0.2312
0.3844 0.3844 0.7688
0.5000 0.0000 0.0000
0.0000 0.5000 0.0000
0.8323 0.8323 0.6647
0.1677 0.1677 0.3353
```

Computed properties:
Space group: I4/mmm



6.
CaINF2 | GGA-PBE | optimized geometry

Geometry as POSCAR:
```
CaINF2
1.0
4.2134 0.0000 0.0000
0.0000 4.2134 0.0000
0.0000 0.0000 6.4404
Ca F N I
1 2 1 1
Direct
0.0000 0.0000 0.0000
0.0000 0.5000 0.0000
0.5000 0.0000 0.0000
0.0000 0.0000 0.5000
0.5000 0.5000 0.5000
```

Computed properties:
Space group: P4/mmm



7.
CaINF2 | GGA-PBE | optimized geometry

Geometry as POSCAR:
```
CaINF2
1.0
-2.9686 -2.2637 -3.2288
3.9395 -1.8796 -2.3042
-0.1450 -3.3257 2.4650
N I Ca F
1 1 1 2
Direct
0.0000 0.0000 0.5000
0.0000 0.0000 0.0000
0.5000 0.5000 0.5000
0.5000 0.0000 0.0000
0.0000 0.5000 0.0000
```

Computed properties:
Space group: P4/mmm



8.
NaCaI2F | GGA-PBE | optimized geometry

Geometry as POSCAR:
```
NaCaI2F
1.0
-0.6007 -3.7694 4.9531
6.1766 0.2540 0.9424
-0.5331 3.4531 2.5633
Ca Na I F
1 1 2 1
Direct
0.0000 0.0000 0.0000
0.5000 0.5000 0.5000
0.5000 0.0000 0.0000
0.0000 0.5000 0.0000
0.0000 0.0000 0.5000
```

Computed properties:
Space group: P4/mmm



9.
CaI2OF | GGA-PBE | optimized geometry

Geometry as POSCAR:
```
CaI2OF
1.0
-2.5782 -3.2561 -2.9436
3.6374 0.3260 -3.5465
2.1584 -3.4256 1.8988
O I Ca F
1 2 1 1
Direct
0.0000 0.0000 0.5000
0.5000 0.0000 0.0000
0.0000 0.5000 0.0000
0.5000 0.5000 0.5000
0.0000 0.0000 0.0000
```

Computed properties:
Space group: P4/mmm



10.
Ca2IOF | GGA-PBE | optimized geometry

Geometry as POSCAR:
```
Ca2IOF
1.0
4.0240 0.0000 0.0000
-2.0120 6.3214 -0.0013
0.0000 -1.5509 8.7586
I Ca F O
2 4 2 2
Direct
0.6553 0.3106 0.6441
0.3447 0.6894 0.3559
0.3903 0.7807 0.7284
0.1209 0.2417 0.9465
0.8791 0.7583 0.0535
0.6097 0.2193 0.2716
0.6854 0.3709 0.0500
0.3146 0.6291 0.9500
0.0511 0.1022 0.1698
0.9489 0.8978 0.8302
```

Computed properties:
Space group: C2/m



11.
CaIOF2 | GGA-PBE | optimized geometry

Geometry as POSCAR:
```
CaIOF2
1.0
4.2401 0.0000 0.0000
0.0000 4.2401 0.0000
0.0000 0.0000 5.0262
F I Ca O
2 1 1 1
Direct
0.0000 0.5000 0.0000
0.5000 0.0000 0.0000
0.5000 0.5000 0.5000
0.0000 0.0000 0.0000
0.0000 0.0000 0.5000
```

Computed properties:
Space group: P4/mmm



12.
CaIOF2 | GGA-PBE | optimized geometry

Geometry as POSCAR:
```
CaIOF2
1.0
5.1097 0.0000 0.0000
0.0000 5.1097 0.0000
0.0000 0.0000 4.0631
O F Ca I
1 2 1 1
Direct
0.0000 0.0000 0.5000
0.5000 0.0000 0.0000
0.0000 0.5000 0.0000
0.5000 0.5000 0.5000
0.0000 0.0000 0.0000
```

Computed properties:
Space group: P4/mmm



Energy relative to the elements, uncorrected per entry: -0.645; -2.532; -1.161; -0.445; -2.406; -1.037; -0.546; -2.009; -0.330; -2.822; -1.663; -1.154 eV/atom
Calculated volume per entry: 227.0; 280.3; 105.7; 149.3; 204.6; 114.3; 100.9; 169.4; 115.9; 222.8; 90.4; 106.1 Å³ per cell